Computed, not measured: an optimized crystal structure of Sm3Ir7Rh2 at the GGA-PBE level of DFT.

E_form, eV per formula unit: -6.87
Total magnetic moment, μB per cell: 0.00
Symmetry: No. 166
Uncorrected energy, eV per cell: -97.8

Structure (POSCAR):
```
Sm3Ir7Rh2
1.0
2.666 1.539 8.839
-2.666 1.539 8.839
0.000 -3.079 8.839
Sm Ir Rh
3 7 2
Direct
0.000 0.000 0.000 Sm
0.140 0.140 0.140 Sm
0.860 0.860 0.860 Sm
0.083 0.581 0.581 Ir
0.419 0.419 0.917 Ir
0.419 0.917 0.419 Ir
0.500 0.500 0.500 Ir
0.581 0.083 0.581 Ir
0.581 0.581 0.083 Ir
0.917 0.419 0.419 Ir
0.333 0.333 0.333 Rh
0.667 0.667 0.667 Rh
```

---

Computed, not measured: an optimized crystal structure of Sm6Ir2Rh at the GGA-PBE level of DFT.

E_form, eV per formula unit: -4.93
Total magnetic moment, μB per cell: 0.00
Symmetry: No. 14
Uncorrected energy, eV per cell: -116.6

Structure (POSCAR):
```
Sm6Ir2Rh
1.0
6.785 0.000 0.000
0.000 7.354 0.000
-6.060 0.000 10.115
Sm Ir Rh
12 4 2
Direct
0.085 0.055 0.252 Sm
0.085 0.445 0.752 Sm
0.261 0.677 0.082 Sm
0.261 0.823 0.582 Sm
0.400 0.180 0.066 Sm
0.400 0.320 0.566 Sm
0.600 0.680 0.434 Sm
0.600 0.820 0.934 Sm
0.739 0.177 0.418 Sm
0.739 0.323 0.918 Sm
0.915 0.555 0.248 Sm
0.915 0.945 0.748 Sm
0.320 0.113 0.772 Ir
0.320 0.387 0.272 Ir
0.680 0.613 0.728 Ir
0.680 0.887 0.228 Ir
0.000 0.000 0.000 Rh
0.000 0.500 0.500 Rh
```

---

Computed, not measured: an optimized crystal structure of Sm8IrRh2 at the GGA-PBE level of DFT.

E_form, eV per formula unit: -4.18
Total magnetic moment, μB per cell: 0.00
Symmetry: No. 8
Uncorrected energy, eV per cell: -65.5

Structure (POSCAR):
```
Sm8IrRh2
1.0
4.172 -6.392 0.000
4.172 6.392 0.000
-2.253 0.000 5.900
Sm Ir Rh
8 1 2
Direct
0.000 0.000 0.000 Sm
0.008 0.271 0.585 Sm
0.152 0.561 0.187 Sm
0.271 0.008 0.585 Sm
0.436 0.697 0.802 Sm
0.561 0.152 0.187 Sm
0.697 0.436 0.802 Sm
0.707 0.707 0.370 Sm
0.352 0.352 0.997 Ir
0.037 0.663 0.686 Rh
0.663 0.037 0.686 Rh
```

---

Computed, not measured: an optimized crystal structure of Sm4IrRh at the GGA-PBE level of DFT.

E_form, eV per formula unit: -3.27
Total magnetic moment, μB per cell: 0.00
Symmetry: No. 15
Uncorrected energy, eV per cell: -76.7

Structure (POSCAR):
```
Sm4IrRh
1.0
4.675 -5.152 0.000
4.675 5.152 0.000
-4.664 0.000 6.960
Sm Ir Rh
8 2 2
Direct
0.033 0.748 0.000 Sm
0.252 0.466 0.500 Sm
0.252 0.967 0.500 Sm
0.466 0.252 0.000 Sm
0.534 0.748 0.000 Sm
0.748 0.033 0.500 Sm
0.748 0.534 0.500 Sm
0.967 0.252 0.000 Sm
0.375 0.625 0.250 Ir
0.625 0.375 0.750 Ir
0.125 0.875 0.750 Rh
0.875 0.125 0.250 Rh
```

---

Computed, not measured: an optimized crystal structure of Sm2IrRh at the GGA-PBE level of DFT.

E_form, eV per formula unit: -2.83
Total magnetic moment, μB per cell: 0.00
Symmetry: No. 225
E above lowest polymorph, meV/atom: 0.0
Uncorrected energy, eV per cell: -28.5

Structure (POSCAR):
```
Sm2IrRh
1.0
0.000 3.501 3.501
3.501 0.000 3.501
3.501 3.501 0.000
Sm Ir Rh
2 1 1
Direct
0.250 0.250 0.250 Sm
0.750 0.750 0.750 Sm
0.000 0.000 0.000 Ir
0.500 0.500 0.500 Rh
```

---

Computed, not measured: an optimized crystal structure of SmIrRh2 at the GGA-PBE level of DFT.

E_form, eV per formula unit: -1.41
Total magnetic moment, μB per cell: 0.00
Symmetry: No. 123
E above lowest polymorph, meV/atom: 151.6
Uncorrected energy, eV per cell: -29.7

Structure (POSCAR):
```
SmIrRh2
1.0
4.123 0.000 0.000
0.000 4.123 0.000
0.000 0.000 4.037
Sm Ir Rh
1 1 2
Direct
0.000 0.000 0.000 Sm
0.500 0.500 0.000 Ir
0.000 0.500 0.500 Rh
0.500 0.000 0.500 Rh
```

---

Computed, not measured: an optimized crystal structure of Sm4IrRh2 at the GGA-PBE level of DFT.

E_form, eV per formula unit: -4.68
Total magnetic moment, μB per cell: 0.00
Symmetry: No. 24
E above lowest polymorph, meV/atom: 0.0
Uncorrected energy, eV per cell: -94.2

Structure (POSCAR):
```
Sm4IrRh2
1.0
-4.371 4.387 4.388
4.371 -4.387 4.388
4.371 4.387 -4.388
Sm Ir Rh
8 2 4
Direct
0.001 0.125 0.002 Sm
0.123 0.998 0.499 Sm
0.377 0.876 0.875 Sm
0.499 0.500 0.123 Sm
0.501 0.502 0.625 Sm
0.623 0.000 0.498 Sm
0.877 0.375 0.377 Sm
0.999 0.624 0.001 Sm
0.250 0.626 0.376 Ir
0.750 0.874 0.124 Ir
0.123 0.373 0.750 Rh
0.377 0.127 0.250 Rh
0.622 0.250 0.872 Rh
0.878 0.750 0.628 Rh
```

---

Computed, not measured: an optimized crystal structure of Sm5Ir2Rh2 at the GGA-PBE level of DFT.

E_form, eV per formula unit: -6.02
Total magnetic moment, μB per cell: 0.00
Symmetry: No. 64
Uncorrected energy, eV per cell: -124.1

Structure (POSCAR):
```
Sm5Ir2Rh2
1.0
7.457 -3.807 0.000
7.457 3.807 0.000
0.000 0.000 7.544
Sm Ir Rh
10 4 4
Direct
0.000 0.000 0.000 Sm
0.032 0.686 0.665 Sm
0.186 0.532 0.165 Sm
0.314 0.968 0.665 Sm
0.468 0.814 0.165 Sm
0.500 0.500 0.500 Sm
0.532 0.186 0.835 Sm
0.686 0.032 0.335 Sm
0.814 0.468 0.835 Sm
0.968 0.314 0.335 Sm
0.200 0.200 0.000 Ir
0.300 0.300 0.500 Ir
0.700 0.700 0.500 Ir
0.800 0.800 0.000 Ir
0.128 0.872 0.374 Rh
0.372 0.628 0.874 Rh
0.628 0.372 0.126 Rh
0.872 0.128 0.626 Rh
```

---

Computed, not measured: an optimized crystal structure of Sm5IrRh2 at the GGA-PBE level of DFT.

E_form, eV per formula unit: -4.96
Total magnetic moment, μB per cell: 0.00
Symmetry: No. 140
Uncorrected energy, eV per cell: -104.2

Structure (POSCAR):
```
Sm5IrRh2
1.0
-3.731 3.731 7.130
3.731 -3.731 7.130
3.731 3.731 -7.130
Sm Ir Rh
10 2 4
Direct
0.000 0.000 0.000 Sm
0.030 0.530 0.849 Sm
0.182 0.030 0.500 Sm
0.318 0.818 0.849 Sm
0.470 0.318 0.500 Sm
0.500 0.500 0.000 Sm
0.530 0.682 0.500 Sm
0.682 0.182 0.151 Sm
0.818 0.970 0.500 Sm
0.970 0.470 0.151 Sm
0.250 0.250 0.000 Ir
0.750 0.750 0.000 Ir
0.130 0.370 0.500 Rh
0.370 0.870 0.241 Rh
0.630 0.130 0.759 Rh
0.870 0.630 0.500 Rh
```

---

Computed, not measured: an optimized crystal structure of SmIrRh4 at the GGA-PBE level of DFT.

E_form, eV per formula unit: -0.84
Total magnetic moment, μB per cell: 0.00
Symmetry: No. 51
Uncorrected energy, eV per cell: -87.7

Structure (POSCAR):
```
SmIrRh4
1.0
7.839 0.000 0.000
0.000 3.981 0.000
0.000 0.000 6.719
Sm Ir Rh
2 2 8
Direct
0.250 0.000 0.146 Sm
0.750 0.000 0.854 Sm
0.250 0.000 0.734 Ir
0.750 0.000 0.266 Ir
0.000 0.000 0.500 Rh
0.052 0.500 0.807 Rh
0.250 0.500 0.470 Rh
0.448 0.500 0.807 Rh
0.500 0.000 0.500 Rh
0.552 0.500 0.193 Rh
0.750 0.500 0.530 Rh
0.948 0.500 0.193 Rh
```

---

Computed, not measured: an optimized crystal structure of Sm2IrRh at the GGA-PBE level of DFT.

E_form, eV per formula unit: -2.75
Total magnetic moment, μB per cell: 0.00
Symmetry: No. 123
E above lowest polymorph, meV/atom: 20.1
Uncorrected energy, eV per cell: -28.4

Structure (POSCAR):
```
Sm2IrRh
1.0
4.877 0.000 0.000
0.000 4.877 0.000
0.000 0.000 3.610
Sm Ir Rh
2 1 1
Direct
0.000 0.500 0.000 Sm
0.500 0.000 0.000 Sm
0.000 0.000 0.500 Ir
0.500 0.500 0.500 Rh
```

---

Computed, not measured: an optimized crystal structure of Sm2Sn4IrRh3 at the GGA-PBE level of DFT.

E_form, eV per formula unit: -6.56
Total magnetic moment, μB per cell: 0.00
Symmetry: No. 115
Uncorrected energy, eV per cell: -62.9

Structure (POSCAR):
```
Sm2Sn4IrRh3
1.0
4.465 0.000 0.000
0.000 4.465 0.000
0.000 0.000 10.805
Sm Sn Ir Rh
2 4 1 3
Direct
0.000 0.500 0.247 Sm
0.500 0.000 0.753 Sm
0.000 0.000 0.500 Sn
0.000 0.500 0.868 Sn
0.500 0.000 0.132 Sn
0.500 0.500 0.500 Sn
0.500 0.500 0.000 Ir
0.000 0.000 0.000 Rh
0.000 0.500 0.632 Rh
0.500 0.000 0.368 Rh
```